This record from Alexandria describes a relaxed structure of Hg2C3. The functional is GGA-PBEsol.

Its theoretical density is 7.56 Mg/m³. The value obtained for the total energy is -4.9379 eV/atom. Its formation energy is 1.075 eV per atom. The value obtained for the volume is 767.83 Å³ per cell.

It has space group Fddd (No. 70, origin choice 2), with a = 6.8568 Å, b = 9.6427 Å, c = 11.6129 Å, α = 90.00°, β = 90.00° and γ = 90.00°. The inequivalent atoms are Hg at (0.1250, 0.1250, 0.3408), C at (0.1250, 0.1250, 0.6250) and C at (0.1250, 0.2606, 0.6250).

This record from Alexandria describes a relaxed structure of HgC2SeI. The functional is GGA-PBEsol.

Its theoretical density is 6.51 Mg/m³. The value obtained for the total energy is -3.0162 eV/atom. The value obtained for the volume is 109.80 Å³ per cell. As for the formation energy from raw total energies: 2.078 eV per atom.

It has space group P4/mmm (No. 123), with a = 4.0348 Å, b = 4.0348 Å, c = 6.7446 Å, α = 90.00°, β = 90.00° and γ = 90.00°. The inequivalent atoms are Hg at (0.0000, 0.0000, 0.0000), C at (0.0000, 0.5000, 0.5000), Se at (0.0000, 0.0000, 0.5000) and I at (0.5000, 0.5000, 0.0000).